1.
A relaxed Sm8P6S crystal. Source: the Alexandria database, functional PBE.

a b c (Å): 10.3768 10.3768 4.2662
angles (deg): 90.00 90.00 120.00
Closest atoms and distances in Å follow each position.
Space group P-3 (No. 147)
Symmetry-distinct sites (fractional):
Sm: 0.0325 0.6920 0.2606 [6 per cell]  4 P 2.74-2.91
Sm: 0.3333 0.6667 0.7462 [2 per cell]  6 P 2.93-2.95
P: 0.1340 0.4764 0.2419 [6 per cell]  6 Sm 2.74-2.95
S: 0.0000 0.0000 0.5000 [1 per cell]  6 Sm 3.53

## Properties
Energy, eV/atom: -6.19
Crystal system: trigonal
E_form (uncorrected), eV/atom: -1.233

2.
A relaxed Sm3PS crystal. Source: the Alexandria database, functional PBE.

a b c (Å): 6.6511 6.6511 3.6490
angles (deg): 90.00 90.00 120.00
Closest atoms and distances in Å follow each position.
Space group P-6 (No. 174)
Symmetry-distinct sites (fractional):
Sm: 0.0058 0.6699 0.0000 [3 per cell]  2 P 2.85, 2 S 2.87
P: 0.3333 0.6667 0.5000 [1 per cell]  6 Sm 2.85
S: 0.0000 0.0000 0.5000 [1 per cell]  6 Sm 2.87

## Properties
Energy, eV/atom: -5.87
Crystal system: hexagonal
E_form (uncorrected), eV/atom: -1.126